A plane-wave DFT calculation with PBE was carried out for a geometry-optimized Pr2Zn3AgPt4 structure.

Summary:
Space-group type ... P-4m2
Density of states at the Fermi level ... 3.9 states/eV/f.u.
Calculated formation energy ... -7.02 eV per formula unit

a = 4.1351 Å, b = 4.1351 Å, c = 11.5099 Å
α = 90.00°, β = 90.00°, γ = 90.00°
Closest atoms and distances in Å follow each position.
Atoms (fractional coordinates):
Zn (0.5000, 0.0000, 0.8710)  5 Pt 2.49-2.55
Zn (0.0000, 0.5000, 0.1290)  5 Pt 2.49-2.55
Ag (0.5000, 0.5000, 0.5000)  4 Pt 2.73, 4 Zn 2.92
Pt (0.5000, 0.0000, 0.6545)  3 Zn 2.49-2.73, 2 Ag 2.73
Pt (0.5000, 0.5000, 0.0000)  4 Zn 2.55
Pr (0.5000, 0.0000, 0.2438)  8 Pt 3.15-3.49, 4 Zn 3.21
Pt (0.0000, 0.0000, 0.0000)  4 Zn 2.55
Pt (0.0000, 0.5000, 0.3455)  3 Zn 2.49-2.73, 2 Ag 2.73
Zn (0.0000, 0.0000, 0.5000)  4 Pt 2.73, 4 Ag 2.92
Pr (0.0000, 0.5000, 0.7562)  8 Pt 3.15-3.49, 4 Zn 3.21